[1]
VASP calculation (GGA-PBE) on a relaxed structure of HfAg3Cl7.

Lattice parameters (Å, degrees): 13.3110 7.8999 7.6641 90.00 119.21 90.00
Space group Cm (No. 8)
Inequivalent atoms, fractional coordinates:
Hf: 0.0000 0.0000 0.0000
Ag: 0.0221 0.2434 0.4435
Ag: 0.4332 0.0000 0.8032
Cl: 0.0654 0.5000 0.6494
Cl: 0.0852 0.0000 0.7871
Cl: 0.1273 0.2228 0.2142
Cl: 0.3510 0.2868 0.8009
Cl: 0.3993 0.5000 0.2237

Output
Electronic total energy in Ha/atom: -0.1437
D(E_F) in states/eV/cell: 0.00



[2]
VASP calculation (GGA-PBE) on a relaxed structure of BaSbPd6Au.

Lattice parameters (Å, degrees): 7.0893 9.8286 10.9206 90.00 90.00 90.00
Space group Imma (No. 74)
Inequivalent atoms, fractional coordinates:
Ba: 0.0000 0.2500 0.2491
Sb: 0.0000 0.0000 0.0000
Pd: 0.0000 0.2500 0.5392
Pd: 0.0000 0.2500 0.9362
Pd: 0.1924 0.0115 0.6274
Au: 0.2500 0.2500 0.7500

Output
Electronic total energy in Ha/atom: -0.1691
D(E_F) in states/eV/cell: 17.49



[3]
VASP calculation (GGA-PBE) on a relaxed structure of Zr6GeC4.

Lattice parameters (Å, degrees): 3.4068 11.2382 17.6269 90.00 90.00 90.00
Space group Cmcm (No. 63)
Inequivalent atoms, fractional coordinates:
Zr: 0.0000 0.0000 0.0000
Zr: 0.0000 0.1503 0.2500
Zr: 0.0000 0.2744 0.5780
Zr: 0.0000 0.4627 0.1504
Ge: 0.0000 0.1605 0.7500
C: 0.0000 0.0906 0.1228
C: 0.0000 0.3613 0.0402

Output
ΔH_f (0 K) in meV/atom: -823
D(E_F) in states/eV/cell: 15.52



[4]
VASP calculation (GGA-PBE) on a relaxed structure of PrErAg4.

Lattice parameters (Å, degrees): 8.1342 8.1342 8.1342 90.00 90.00 90.00
Space group F-43m (No. 216)
Inequivalent atoms, fractional coordinates:
Pr: 0.0000 0.0000 0.0000
Er: 0.2500 0.2500 0.2500
Ag: 0.1245 0.1245 0.6245

Output
ΔE to the lowest computed polymorph in eV per atom: 0.112
ΔH_f (0 K) in meV/atom: -158
D(E_F) in states/eV/cell: 17.91



[5]
VASP calculation (GGA-PBE) on a relaxed structure of HfTaO2.

Lattice parameters (Å, degrees): 4.9284 4.9284 9.6079 90.00 90.00 90.00
Space group I-42d (No. 122)
Inequivalent atoms, fractional coordinates:
Hf: 0.0000 0.0000 0.0000
Ta: 0.0000 0.0000 0.5000
O: 0.2277 0.2500 0.1250

Output
ΔE to the lowest computed polymorph in eV per atom: 0.397
D(E_F) in states/eV/cell: 4.90



[6]
VASP calculation (GGA-PBE) on a relaxed structure of TaGa2Fe2.

Lattice parameters (Å, degrees): 7.0515 7.0515 2.7392 90.00 90.00 90.00
Space group P4/mbm (No. 127)
Inequivalent atoms, fractional coordinates:
Ta: 0.0000 0.0000 0.0000
Ga: 0.1290 0.3710 0.0000
Fe: 0.1696 0.6696 0.5000

Output
ΔE to the lowest computed polymorph in eV per atom: 0.000
ΔH_f (0 K) in meV/atom: -32
D(E_F) in states/eV/cell: 9.30



[7]
VASP calculation (GGA-PBE) on a relaxed structure of AlCrSbI2.

Lattice parameters (Å, degrees): 5.5287 5.5287 5.4699 90.00 90.00 90.00
Space group P4/mmm (No. 123)
Inequivalent atoms, fractional coordinates:
Al: 0.0000 0.0000 0.0000
Cr: 0.5000 0.5000 0.5000
Sb: 0.0000 0.0000 0.5000
I: 0.0000 0.5000 0.0000

Output
ΔE to the lowest computed polymorph in eV per atom: 0.233
D(E_F) in states/eV/cell: 4.84



[8]
VASP calculation (GGA-PBE) on a relaxed structure of CsNa2HgBr4.

Lattice parameters (Å, degrees): 5.2093 15.0698 14.7634 90.00 90.00 90.00
Space group Cmcm (No. 63)
Inequivalent atoms, fractional coordinates:
Cs: 0.0000 0.1380 0.2500
Na: 0.0000 0.3740 0.0455
Hg: 0.0000 0.1147 0.7500
Br: 0.0000 0.0000 0.0000
Br: 0.0000 0.2572 0.6079
Br: 0.0000 0.4368 0.2500

Output
Electronic total energy in Ha/atom: -0.0920
D(E_F) in states/eV/cell: 5.28



Repeat the second record exactly.
VASP calculation (GGA-PBE) on a relaxed structure of BaSbPd6Au.

Lattice parameters (Å, degrees): 7.0893 9.8286 10.9206 90.00 90.00 90.00
Space group Imma (No. 74)
Inequivalent atoms, fractional coordinates:
Ba: 0.0000 0.2500 0.2491
Sb: 0.0000 0.0000 0.0000
Pd: 0.0000 0.2500 0.5392
Pd: 0.0000 0.2500 0.9362
Pd: 0.1924 0.0115 0.6274
Au: 0.2500 0.2500 0.7500

Output
Electronic total energy in Ha/atom: -0.1691
D(E_F) in states/eV/cell: 17.49



Look up the D(E_F) of the first one. 0.00 states/eV/cell



Which value of D(E_F) does entry 1 give? 0.00 states/eV/cell



What is the D(E_F) in the seventh record? 4.84 states/eV/cell